(1)
This record from the Alexandria database describes a geometry-optimized Sr2SmUO6 structure. The functional is GGA-PBE.

a b c (Å): 8.8192 8.8192 8.8192
angles (deg): 90.00 90.00 90.00
Space group Fm-3m (No. 225)
Inequivalent atoms, fractional coordinates:
Sr 0.2500 0.2500 0.2500 x8
Sm 0.0000 0.0000 0.0000 x4
U 0.0000 0.0000 0.5000 x4
O 0.0000 0.0000 0.2578 x24

The total energy comes out at -319.59 eV/cell. For the magnetization, the calculation gives 4.00 μB/cell. The uncorrected formation energy comes out at -30.78 eV/f.u. The value obtained for the density of states at the Fermi level is 0.456 states/eV per cell. The energy relative to the lowest polymorph listed for this composition is 0.158 eV/atom.

(2)
This record from the Alexandria database describes a geometry-optimized Sr2SmUO6 structure. The functional is GGA-PBE.

a b c (Å): 6.0306 6.1878 10.5178
angles (deg): 90.00 124.92 90.00
Space group P2_1/c (No. 14)
Inequivalent atoms, fractional coordinates:
Sr 0.2389 0.0454 0.2512 x4
Sm 0.5000 0.0000 0.0000 x2
U 0.0000 0.0000 0.5000 x2
O 0.1303 0.2128 0.9398 x4
O 0.2352 0.6921 0.9467 x4
O 0.3450 0.0436 0.7393 x4

The total energy comes out at -162.96 eV/cell. For the magnetization, the calculation gives 2.00 μB/cell. The uncorrected formation energy comes out at -32.36 eV/f.u. The energy relative to the lowest polymorph listed for this composition is 0.000 eV/atom.

Question: Look up the energy relative to the lowest polymorph listed for this composition of the first one.
Answer: 0.158 eV/atom

Question: Which of these has the lowest energy relative to the lowest polymorph listed for this composition?
Answer: number 2